(1)
VASP calculation (PBE) on a relaxed Cs2As2Ir crystal.

Cell and atoms, written as POSCAR:
```
Cs2As2Ir
1.0
6.593 0.000 0.000
0.000 6.593 0.000
0.000 0.000 6.193
Cs As Ir
4 4 2
Cartesian
1.204 2.092 0.000
2.092 5.388 0.000
4.501 1.204 0.000
5.388 4.501 0.000
0.918 4.214 3.097
2.379 0.918 3.097
4.214 5.675 3.097
5.675 2.379 3.097
0.000 0.000 3.097
3.296 3.296 3.097
```

## Properties
The calculation puts the formation energy at -12 kJ/mol of atoms. Its total magnetization is 0.00 μB/cell.

(2)
VASP calculation (PBE) on a relaxed Ti11Ga9Rh4 crystal.

Cell and atoms, written as POSCAR:
```
Ti11Ga9Rh4
1.0
6.390 -10.015 0.000
6.390 10.015 0.000
0.000 0.000 2.969
Ti Ga Rh
11 9 4
Cartesian
0.000 0.000 0.000
2.855 3.601 0.000
6.390 6.670 0.000
3.700 0.000 0.000
6.390 2.468 0.000
2.855 -3.601 0.000
9.925 3.601 0.000
6.390 -2.468 0.000
9.080 0.000 0.000
6.390 -6.670 0.000
9.925 -3.601 0.000
1.687 1.569 1.485
5.055 4.625 1.485
1.687 -1.569 1.485
7.725 4.625 1.485
6.390 0.000 1.485
5.055 -4.625 1.485
11.094 1.569 1.485
7.725 -4.625 1.485
11.094 -1.569 1.485
4.324 2.027 1.485
4.324 -2.027 1.485
8.456 2.027 1.485
8.456 -2.027 1.485
```

## Properties
The calculation puts the formation energy at -53 kJ/mol of atoms. Its total magnetization is 0.00 μB/cell.

(3)
VASP calculation (PBE) on a relaxed Ac3Au5Se12 crystal.

Cell and atoms, written as POSCAR:
```
Ac3Au5Se12
1.0
-8.293 8.293 8.293
8.293 -8.293 8.293
8.293 8.293 -8.293
Ac Au Se
12 20 48
Cartesian
4.146 2.073 0.000
8.293 4.146 -2.073
2.073 0.000 4.146
10.366 0.000 4.146
0.000 4.146 2.073
4.146 -2.073 8.293
4.146 10.366 0.000
8.293 4.146 6.220
-2.073 8.293 4.146
6.220 8.293 4.146
0.000 4.146 10.366
4.146 6.220 8.293
0.000 0.000 0.000
4.146 4.146 -4.146
4.146 -4.146 4.146
8.293 0.000 0.000
12.439 2.073 0.000
8.293 -4.146 6.220
6.220 8.293 -4.146
6.220 0.000 4.146
4.146 6.220 0.000
8.293 4.146 2.073
-4.146 4.146 4.146
0.000 8.293 0.000
0.000 0.000 8.293
4.146 4.146 4.146
0.000 4.146 6.220
4.146 2.073 8.293
2.073 8.293 4.146
2.073 0.000 12.439
0.000 12.439 2.073
-4.146 6.220 8.293
2.423 -0.411 0.943
10.016 5.089 -4.557
10.716 0.411 0.943
10.016 -3.204 4.557
7.882 -0.943 2.423
12.850 -1.723 3.204
0.943 2.423 -0.411
11.497 3.736 -1.723
5.089 4.557 -1.723
7.350 2.423 0.411
-0.411 0.943 2.423
4.557 -1.723 5.089
7.882 7.350 -2.423
4.557 1.723 3.204
5.089 -4.557 10.016
7.350 -2.423 7.882
3.204 4.557 1.723
9.235 5.870 0.411
4.557 10.016 -3.204
7.882 0.943 5.870
2.423 7.882 -0.943
10.016 3.204 3.736
1.723 3.204 4.557
2.423 0.411 7.350
5.870 7.882 0.943
6.569 5.089 3.736
-1.723 5.089 4.557
5.870 0.411 9.235
0.411 7.350 2.423
3.736 -1.723 11.497
-0.943 2.423 7.882
5.089 3.736 6.569
0.943 10.716 0.411
3.204 12.850 -1.723
3.736 6.569 5.089
0.411 0.943 10.716
3.736 10.016 3.204
8.703 7.350 5.870
0.943 5.870 7.882
3.204 3.736 10.016
-3.204 4.557 10.016
7.350 5.870 8.703
-4.557 10.016 5.089
0.411 9.235 5.870
-1.723 11.497 3.736
-2.423 7.882 7.350
-1.723 3.204 12.850
5.870 8.703 7.350
```

## Properties
The calculation puts the raw formation energy at -12.639 eV per formula unit. Its total magnetization is 0.00 μB/cell.

(4)
VASP calculation (PBE) on a relaxed USnRh2 crystal.

Cell and atoms, written as POSCAR:
```
USnRh2
1.0
9.837 0.000 0.000
0.000 4.415 0.000
0.000 0.000 7.002
U Sn Rh
4 4 8
Cartesian
0.987 1.104 1.369
3.931 3.311 4.870
5.905 1.104 2.132
8.850 3.311 5.633
1.368 1.104 5.005
3.550 3.311 1.504
6.287 1.104 5.498
8.469 3.311 1.997
1.077 3.311 3.296
1.732 3.311 6.502
3.187 1.104 3.001
3.841 1.104 6.797
5.996 3.311 0.205
6.650 3.311 4.001
8.105 1.104 0.500
8.760 1.104 3.706
```

## Properties
The calculation puts the formation energy at -52 kJ/mol of atoms. Its total magnetization is 6.46 μB/cell.

(5)
VASP calculation (PBE) on a relaxed Mg2Co3Si4 crystal.

Cell and atoms, written as POSCAR:
```
Mg2Co3Si4
1.0
0.000 4.308 5.668
2.561 0.000 5.668
2.561 4.308 0.000
Mg Co Si
2 3 4
Cartesian
2.561 4.308 1.377
2.561 4.308 9.958
1.281 2.154 0.000
1.281 2.154 5.668
2.561 4.308 5.668
2.561 2.775 3.894
2.561 2.775 7.442
2.561 5.840 3.894
2.561 5.840 7.442
```

## Properties
The calculation puts the raw formation energy at -2.445 eV per formula unit. Its total magnetization is 0.05 μB/cell.

(6)
VASP calculation (PBE) on a relaxed LiTbGa4O8 crystal.

Cell and atoms, written as POSCAR:
```
LiTbGa4O8
1.0
3.042 1.757 4.967
-3.042 1.757 4.967
0.000 -3.513 4.967
Li Tb Ga O
1 1 4 8
Cartesian
0.000 0.000 0.000
0.000 0.000 5.637
0.000 1.790 12.371
1.550 -0.895 12.371
-1.550 -0.895 12.371
0.000 0.000 9.147
-1.579 -0.912 8.515
0.000 0.000 3.497
0.000 -1.975 6.341
-1.710 0.987 6.341
1.579 -0.912 8.515
0.000 1.824 8.515
0.000 0.000 11.161
1.710 0.987 6.341
```

## Properties
The calculation puts the raw formation energy at -29.459 eV per formula unit. Its total magnetization is 0.00 μB/cell.

(7)
VASP calculation (PBE) on a relaxed K2Cr2Ga crystal.

Cell and atoms, written as POSCAR:
```
K2Cr2Ga
1.0
10.088 0.000 0.000
0.000 10.088 0.000
0.000 0.000 3.049
K Cr Ga
4 4 2
Cartesian
2.185 2.859 0.000
2.859 7.903 0.000
7.228 2.185 0.000
7.903 7.228 0.000
0.612 5.656 1.525
4.431 0.612 1.525
5.656 9.475 1.525
9.475 4.431 1.525
0.000 0.000 0.000
5.044 5.044 0.000
```

## Properties
The calculation puts the formation energy at 107 kJ/mol of atoms. The energy above the lowest structure with this stoichiometry is 323.9 meV per atom. Its total magnetization is 0.00 μB/cell.